Record 1
The following is a DFT calculation (PBE-GGA) of a relaxed YSnSb crystal.

Cell: 5.2122 5.2122 24.0142 Å, 90.00 90.00 120.00°
Space group R-3m (No. 166, hexagonal axes)
Unique sites:
Y 0.0000 0.0000 0.0842 [6 per cell]
Sn 0.0000 0.0000 0.3426 [6 per cell]
Sb 0.0000 0.0000 0.2189 [6 per cell]

Calculated values
* formation energy from raw total energies: -0.47 eV per atom
* crystal system: trigonal

***

Record 2
The following is a DFT calculation (PBE-GGA) of a relaxed YSn2Sb2 crystal.

Cell: 8.252 8.252 4.158 Å, 90.00 90.00 90.00°
Space group P4/mbm (No. 127)
Unique sites:
Y 0.000 0.000 0.000 [2 per cell]
Sn 0.129 0.371 0.000 [4 per cell]
Sb 0.187 0.687 0.500 [4 per cell]

Calculated values
* formation energy from raw total energies: -0.17 eV per atom
* crystal system: tetragonal

***

Record 3
The following is a DFT calculation (PBE-GGA) of a relaxed YSn3Sb crystal.

Cell: 5.639 5.639 5.639 Å, 90.00 90.00 90.00°
Space group Pm-3m (No. 221)
Unique sites:
Y 0.000 0.000 0.000 [1 per cell]
Sn 0.000 0.500 0.500 [3 per cell]
Sb 0.500 0.500 0.500 [1 per cell]

Calculated values
* energy above the most stable polymorph in this dataset: 0.0 meV per atom
* formation energy from raw total energies: 0.52 eV per atom
* crystal system: cubic

***

Record 4
The following is a DFT calculation (PBE-GGA) of a relaxed Y2SnSb crystal.

Cell: 4.472 23.866 4.335 Å, 90.00 90.00 90.00°
Space group Cmcm (No. 63)
Unique sites:
Y 0.000 0.063 0.250 [4 per cell]
Y 0.000 0.317 0.250 [4 per cell]
Sn 0.000 0.454 0.250 [4 per cell]
Sb 0.000 0.188 0.250 [4 per cell]

Calculated values
* energy above the most stable polymorph in this dataset: 0.0 meV per atom
* formation energy from raw total energies: -0.96 eV per atom
* crystal system: orthorhombic

***

Record 5
The following is a DFT calculation (PBE-GGA) of a relaxed Y2Sn2Sb crystal.

Cell: 8.042 8.042 4.506 Å, 90.00 90.00 90.00°
Space group P4/mbm (No. 127)
Unique sites:
Y 0.172 0.328 0.000 [4 per cell]
Sn 0.129 0.629 0.500 [4 per cell]
Sb 0.000 0.000 0.000 [2 per cell]

Calculated values
* energy above the most stable polymorph in this dataset: 0.0 meV per atom
* formation energy from raw total energies: -0.63 eV per atom
* crystal system: tetragonal

***

Record 6
The following is a DFT calculation (PBE-GGA) of a relaxed YSn2Sb2 crystal.

Cell: 4.344 4.344 15.814 Å, 90.00 90.00 90.00°
Space group I4/mmm (No. 139)
Unique sites:
Y 0.000 0.000 0.000 [2 per cell]
Sn 0.000 0.000 0.409 [4 per cell]
Sb 0.000 0.500 0.250 [4 per cell]

Calculated values
* formation energy from raw total energies: -0.02 eV per atom
* crystal system: tetragonal

***

Record 7
The following is a DFT calculation (PBE-GGA) of a relaxed YSn3Sb crystal.

Cell: 5.764 5.764 5.764 Å, 90.00 90.00 90.00°
Space group Pm-3m (No. 221)
Unique sites:
Y 0.000 0.000 0.000 [1 per cell]
Sn 0.000 0.000 0.500 [3 per cell]
Sb 0.500 0.500 0.500 [1 per cell]

Calculated values
* energy above the most stable polymorph in this dataset: 87.4 meV per atom
* formation energy from raw total energies: 0.61 eV per atom
* crystal system: cubic

***

Record 8
The following is a DFT calculation (PBE-GGA) of a relaxed Y5SnSb2 crystal.

Cell: 7.380 7.380 8.123 Å, 90.00 90.00 90.00°
Space group I4mm (No. 107)
Unique sites:
Y 0.000 0.000 0.000 [2 per cell]
Y 0.233 0.233 0.302 [8 per cell]
Sn 0.000 0.000 0.605 [2 per cell]
Sb 0.000 0.500 0.045 [4 per cell]

Calculated values
* formation energy from raw total energies: -0.57 eV per atom
* crystal system: tetragonal

***

Record 9
The following is a DFT calculation (PBE-GGA) of a relaxed Y6SnSb5 crystal.

Cell: 7.602 13.193 7.609 Å, 90.00 109.54 90.00°
Space group C2/m (No. 12)
Unique sites:
Y 0.249 0.000 0.250 [4 per cell]
Y 0.250 0.167 0.750 [8 per cell]
Sn 0.000 0.500 0.000 [2 per cell]
Sb 0.000 0.000 0.500 [2 per cell]
Sb 0.000 0.166 0.000 [4 per cell]
Sb 0.000 0.333 0.500 [4 per cell]

Calculated values
* formation energy from raw total energies: -1.06 eV per atom
* crystal system: monoclinic

***

Record 10
The following is a DFT calculation (PBE-GGA) of a relaxed Y2SnSb crystal.

Cell: 4.1866 4.1866 24.0022 Å, 90.00 90.00 120.00°
Space group R3m (No. 160, hexagonal axes)
Unique sites:
Y 0.0000 0.0000 0.0000 [3 per cell]
Y 0.0000 0.0000 0.1774 [3 per cell]
Sn 0.0000 0.0000 0.4211 [3 per cell]
Sb 0.0000 0.0000 0.5900 [3 per cell]

Calculated values
* energy above the most stable polymorph in this dataset: 186.9 meV per atom
* formation energy from raw total energies: -0.77 eV per atom
* crystal system: trigonal

***

Record 11
The following is a DFT calculation (PBE-GGA) of a relaxed Y7Sn2Sb2 crystal.

Cell: 8.731 10.997 7.224 Å, 90.00 90.00 90.00°
Space group Cmmm (No. 65)
Unique sites:
Y 0.000 0.000 0.000 [2 per cell]
Y 0.000 0.500 0.264 [4 per cell]
Y 0.250 0.250 0.277 [8 per cell]
Sn 0.181 0.000 0.500 [4 per cell]
Sb 0.000 0.279 0.000 [4 per cell]

Calculated values
* formation energy from raw total energies: -0.45 eV per atom
* crystal system: orthorhombic

***

Record 12
The following is a DFT calculation (PBE-GGA) of a relaxed Y2Sn2Sb crystal.

Cell: 8.019 8.019 4.337 Å, 90.00 90.00 90.00°
Space group P4/mbm (No. 127)
Unique sites:
Y 0.174 0.326 0.000 [4 per cell]
Sn 0.130 0.630 0.500 [4 per cell]
Sb 0.000 0.000 0.500 [2 per cell]

Calculated values
* energy above the most stable polymorph in this dataset: 59.9 meV per atom
* formation energy from raw total energies: -0.57 eV per atom
* crystal system: tetragonal

***

Record 13
The following is a DFT calculation (PBE-GGA) of a relaxed Y2SnSb crystal.

Cell: 8.243 8.243 6.911 Å, 90.00 90.00 90.00°
Space group I-42d (No. 122)
Unique sites:
Y 0.247 0.250 0.125 [8 per cell]
Sn 0.000 0.000 0.500 [4 per cell]
Sb 0.000 0.000 0.000 [4 per cell]

Calculated values
* energy above the most stable polymorph in this dataset: 326.8 meV per atom
* formation energy from raw total energies: -0.63 eV per atom
* crystal system: tetragonal

***

Record 14
The following is a DFT calculation (PBE-GGA) of a relaxed Y4Sn2Sb crystal.

Cell: 9.269 9.269 9.276 Å, 90.00 90.00 90.00°
Space group I-42d (No. 122)
Unique sites:
Y 0.072 0.179 0.304 [16 per cell]
Sn 0.126 0.250 0.625 [8 per cell]
Sb 0.000 0.000 0.000 [4 per cell]

Calculated values
* energy above the most stable polymorph in this dataset: 0.0 meV per atom
* formation energy from raw total energies: -0.86 eV per atom
* crystal system: tetragonal

***

Record 15
The following is a DFT calculation (PBE-GGA) of a relaxed Y4Sn2Sb crystal.

Cell: 5.468 5.468 16.176 Å, 90.00 90.00 90.00°
Space group I4/mmm (No. 139)
Unique sites:
Y 0.000 0.000 0.182 [4 per cell]
Y 0.000 0.500 0.000 [4 per cell]
Sn 0.000 0.000 0.371 [4 per cell]
Sb 0.000 0.000 0.000 [2 per cell]

Calculated values
* energy above the most stable polymorph in this dataset: 544.8 meV per atom
* formation energy from raw total energies: -0.31 eV per atom
* crystal system: tetragonal

***

Record 16
The following is a DFT calculation (PBE-GGA) of a relaxed ZnSnSb3 crystal.

Cell: 5.695 5.695 5.695 Å, 90.00 90.00 90.00°
Space group Pm-3m (No. 221)
Unique sites:
Zn 0.000 0.000 0.000 [1 per cell]
Sn 0.500 0.500 0.500 [1 per cell]
Sb 0.000 0.500 0.500 [3 per cell]

Calculated values
* energy above the most stable polymorph in this dataset: 414.9 meV per atom
* formation energy from raw total energies: 0.88 eV per atom
* crystal system: cubic

***

Record 17
The following is a DFT calculation (PBE-GGA) of a relaxed Zn12Sn3Sb5 crystal.

Cell: 15.827 15.827 15.827 Å, 90.00 90.00 90.00°
Space group Ia-3d (No. 230)
Unique sites:
Zn 0.021 0.082 0.652 [96 per cell]
Sn 0.000 0.250 0.125 [24 per cell]
Sb 0.000 0.000 0.000 [16 per cell]
Sb 0.000 0.250 0.375 [24 per cell]

Calculated values
* formation energy from raw total energies: 0.09 eV per atom
* crystal system: cubic

***

Record 18
The following is a DFT calculation (PBE-GGA) of a relaxed Zn2SnSb crystal.

Cell: 3.6708 3.6708 26.4509 Å, 90.00 90.00 120.00°
Space group R-3m (No. 166, hexagonal axes)
Unique sites:
Zn 0.0000 0.0000 0.0987 [6 per cell]
Sn 0.0000 0.0000 0.0000 [3 per cell]
Sb 0.0000 0.0000 0.5000 [3 per cell]

Calculated values
* energy above the most stable polymorph in this dataset: 128.3 meV per atom
* formation energy from raw total energies: 0.22 eV per atom
* crystal system: trigonal

***

Record 19
The following is a DFT calculation (PBE-GGA) of a relaxed Zn2SnSb crystal.

Cell: 4.3439 4.3439 17.4594 Å, 90.00 90.00 120.00°
Space group R3m (No. 160, hexagonal axes)
Unique sites:
Zn 0.0000 0.0000 0.0000 [3 per cell]
Zn 0.0000 0.0000 0.1628 [3 per cell]
Sn 0.0000 0.0000 0.4111 [3 per cell]
Sb 0.0000 0.0000 0.5826 [3 per cell]

Calculated values
* energy above the most stable polymorph in this dataset: 2.5 meV per atom
* formation energy from raw total energies: 0.10 eV per atom
* crystal system: trigonal

***

Record 20
The following is a DFT calculation (PBE-GGA) of a relaxed Zn2SnSb crystal.

Cell: 3.827 5.960 8.334 Å, 90.00 100.44 90.00°
Space group P2_1/m (No. 11)
Unique sites:
Zn 0.103 0.014 0.255 [4 per cell]
Sn 0.309 0.250 0.551 [2 per cell]
Sb 0.500 0.000 0.000 [2 per cell]

Calculated values
* energy above the most stable polymorph in this dataset: 0.0 meV per atom
* formation energy from raw total energies: 0.10 eV per atom
* crystal system: monoclinic